Entry from Alexandria: a relaxed TmZn2AsO6 crystal (PBE).

## Properties
raw formation energy = -1856.8 meV/atom
density of states at the Fermi level = 0.0 states/eV per cell
magnetization = 0.00 μB per formula unit

abc: 6.8986 7.0177 7.0177
angles: 71.70 71.64 71.64
Sites, in units of the cell vectors:
Tm 0.2500 0.7616 0.2384
Tm 0.7500 0.2384 0.7616
O 0.1405 0.7408 0.5631
O 0.8595 0.2592 0.4369
O 0.5337 0.7710 0.3183
O 0.7427 0.1033 0.1302
O 0.6405 0.5631 0.7408
O 0.9663 0.6817 0.2290
O 0.0337 0.3183 0.7710
O 0.7573 0.8698 0.8967
O 0.3595 0.4369 0.2592
O 0.4663 0.2290 0.6817
O 0.2573 0.8967 0.8698
O 0.2427 0.1302 0.1033
As 0.2500 0.1502 0.8498
As 0.7500 0.8498 0.1502
Zn 0.8833 0.6605 0.7111
Zn 0.6167 0.2889 0.3395
Zn 0.1167 0.3395 0.2889
Zn 0.3833 0.7111 0.6605

---

Entry from Alexandria: a relaxed UAs3O9 crystal (PBE).

## Properties
raw formation energy = -1665.5 meV/atom
density of states at the Fermi level = 0.1 states/eV per cell
magnetization = 1.00 μB per formula unit

abc: 7.7986 8.2654 9.2935
angles: 70.07 65.19 61.85
Each line ends with the local moment (μB).
Sites, in units of the cell vectors:
O 0.4594 0.1513 0.6448  -0.02
O 0.7206 0.0252 0.3283  -0.02
O 0.8602 0.0978 0.9887  0.00
O 0.0533 0.5978 0.4887  0.00
O 0.0748 0.7424 0.8837  -0.01
O 0.9258 0.5252 0.8284  -0.02
O 0.4463 0.5232 0.2835  0.00
O 0.6497 0.3960 0.5940  -0.01
O 0.6503 0.7438 0.6453  -0.02
O 0.1429 0.0433 0.6756  -0.01
O 0.9607 0.2438 0.1453  -0.02
O 0.3567 0.3171 0.8942  -0.01
O 0.3603 0.8960 0.0940  -0.01
O 0.7445 0.6513 0.1448  -0.02
O 0.2991 0.2424 0.3837  -0.01
O 0.1381 0.5433 0.1756  -0.01
O 0.4321 0.8171 0.3942  -0.01
O 0.7471 0.0232 0.7835  0.00
U 0.4713 0.9795 0.5130  1.09
U 0.0362 0.4795 0.0130  1.09
As 0.5528 0.2427 0.7229  0.00
As 0.4816 0.7427 0.2229  0.00
As 0.9625 0.9774 0.8328  0.00
As 0.2273 0.4774 0.3328  0.00
As 0.8488 0.5179 0.6711  -0.01
As 0.9622 0.0179 0.1711  -0.01

---

Entry from Alexandria: a relaxed UAsO5 crystal (PBE).

## Properties
raw formation energy = -2227.9 meV/atom
density of states at the Fermi level = 3.7 states/eV per cell
magnetization = 1.00 μB per formula unit

abc: 5.8543 5.8544 8.2099
angles: 111.95 110.30 89.38
Each line ends with the local moment (μB).
Sites, in units of the cell vectors:
O 0.2959 0.8386 0.1518  -0.01
O 0.3143 0.3568 0.6518  -0.01
O 0.9440 0.1962 0.2494  -0.04
O 0.7022 0.1639 0.8469  -0.01
O 0.2528 0.3300 0.0761  -0.01
O 0.2511 0.6782 0.4226  -0.01
O 0.0541 0.8064 0.7494  -0.04
O 0.7454 0.6725 0.9226  -0.01
O 0.7471 0.3243 0.5761  -0.01
O 0.6839 0.6457 0.3469  -0.01
U 0.9991 0.5013 0.4994  1.07
U 0.9991 0.0013 0.9994  1.07
As 0.6268 0.3790 0.7494  -0.01
As 0.3713 0.6235 0.2493  -0.01

---

Entry from Alexandria: a relaxed UAs2O8 crystal (PBE).

## Properties
raw formation energy = -1609.6 meV/atom
magnetization = 0.11 μB per formula unit

abc: 5.2677 6.8791 6.8791
angles: 51.08 85.47 85.47
Sites, in units of the cell vectors:
O 0.2022 0.8873 0.3137
O 0.6568 0.6972 0.6972
O 0.7978 0.6863 0.1127
O 0.3203 0.8889 0.8889
O 0.6797 0.1111 0.1111
O 0.3432 0.3028 0.3028
O 0.7978 0.1127 0.6863
O 0.2022 0.3137 0.8873
As 0.3656 0.1702 0.1702
As 0.6344 0.8298 0.8298
U 0.0000 0.0000 0.0000

---

Entry from Alexandria: a relaxed UZnAsO6 crystal (PBE).

## Properties
raw formation energy = -1847.9 meV/atom
density of states at the Fermi level = 5.0 states/eV per cell
magnetization = 1.01 μB per formula unit

abc: 5.3088 5.3088 8.9235
angles: 90.00 90.00 120.00
Each line ends with the local moment (μB).
Sites, in units of the cell vectors:
O 0.6718 0.0417 0.8676  -0.02
O 0.3699 0.0417 0.6324  -0.02
O 0.6718 0.6301 0.6324  -0.02
O 0.3699 0.3282 0.8676  -0.02
O 0.6301 0.9583 0.3676  -0.02
O 0.0417 0.6718 0.3676  -0.02
O 0.3282 0.9583 0.1324  -0.02
O 0.6301 0.6718 0.1324  -0.02
O 0.9583 0.6301 0.8676  -0.02
O 0.9583 0.3282 0.6324  -0.02
O 0.0417 0.3699 0.1324  -0.02
O 0.3282 0.3699 0.3676  -0.02
As 0.3333 0.6667 0.2500  0.00
As 0.6667 0.3333 0.7500  0.00
U 0.6667 0.3333 0.2500  1.09
U 0.3333 0.6667 0.7500  1.09
Zn 0.0000 0.0000 0.5000  0.00
Zn 0.0000 0.0000 0.0000  0.00

---

Entry from Alexandria: a relaxed ZrUAs2O crystal (PBE).

## Properties
raw formation energy = -1563.5 meV/atom
density of states at the Fermi level = 11.9 states/eV per cell
magnetization = 1.53 μB per formula unit

abc: 3.8047 3.8047 13.2830
angles: 90.00 90.00 90.00
Each line ends with the local moment (μB).
Sites, in units of the cell vectors:
O 0.0000 0.0000 0.5000  -0.06
O 0.5000 0.5000 0.5000  -0.06
U 0.5000 0.0000 0.5998  1.69
U 0.0000 0.5000 0.4002  1.69
Zr 0.5000 0.0000 0.0920  -0.01
Zr 0.0000 0.5000 0.9080  -0.01
As 0.0000 0.5000 0.6989  -0.09
As 0.0000 0.5000 0.1198  -0.01
As 0.5000 0.0000 0.8802  -0.01
As 0.5000 0.0000 0.3011  -0.09